Record 1
A plane-wave DFT calculation with GGA-PBE was carried out for K2LaAgCl6 after structural relaxation.

a = 7.4157 Å, b = 7.8413 Å, c = 12.7239 Å
α = 90.00°, β = 124.48°, γ = 90.00°
Last column: nearest neighbours and their distance in Å.
Fractional positions:
K: 0.2226 0.0742 0.2478  6 Cl 3.19-3.42
K: 0.2226 0.4258 0.7478  6 Cl 3.19-3.42
K: 0.7774 0.5742 0.2522  6 Cl 3.19-3.42
K: 0.7774 0.9258 0.7522  6 Cl 3.19-3.42
La: 0.5000 0.0000 0.0000  6 Cl 2.79-2.80
La: 0.5000 0.5000 0.5000  6 Cl 2.79-2.80
Ag: 0.0000 0.0000 0.5000  6 Cl 2.73-2.86
Ag: 0.0000 0.5000 0.0000  6 Cl 2.73-2.86
Cl: 0.1408 0.1937 0.9440  1 La 2.79, 1 Ag 2.86
Cl: 0.1408 0.3063 0.4440  1 La 2.79, 1 Ag 2.86
Cl: 0.2530 0.7032 0.9442  1 La 2.79, 1 Ag 2.84
Cl: 0.2530 0.7968 0.4442  1 La 2.79, 1 Ag 2.84
Cl: 0.3556 0.0357 0.7450  1 Ag 2.73, 1 La 2.80
Cl: 0.3556 0.4643 0.2450  1 Ag 2.73, 1 La 2.80
Cl: 0.6444 0.5357 0.7550  1 Ag 2.73, 1 La 2.80
Cl: 0.6444 0.9643 0.2550  1 Ag 2.73, 1 La 2.80
Cl: 0.7470 0.2032 0.5558  1 La 2.79, 1 Ag 2.84
Cl: 0.7470 0.2968 0.0558  1 La 2.79, 1 Ag 2.84
Cl: 0.8592 0.6937 0.5560  1 La 2.79, 1 Ag 2.86
Cl: 0.8592 0.8063 0.0560  1 La 2.79, 1 Ag 2.86

Results
The offset from the most stable computed form comes out at 0.0 meV per atom. The formation energy (no corrections) is -1.8375 eV per atom. The space group is No. 14.



Record 2
A plane-wave DFT calculation with GGA-PBE was carried out for RbCoAs2 after structural relaxation.

a = 4.8546 Å, b = 4.8546 Å, c = 4.8546 Å
α = 60.00°, β = 60.00°, γ = 60.00°
Last column: nearest neighbours and their distance in Å.
Fractional positions:
Rb: 0.0000 0.0000 0.0000  8 As 2.97
Co: 0.5000 0.5000 0.5000  8 As 2.97
As: 0.2500 0.2500 0.2500  4 Co 2.97, 4 Rb 2.97
As: 0.7500 0.7500 0.7500  4 Rb 2.97, 4 Co 2.97

Results
The offset from the most stable computed form comes out at 955.6 meV per atom. As for the formation energy from the elements: 740 meV/atom. The space group is No. 225.



Record 3
A plane-wave DFT calculation with GGA-PBE was carried out for MgCdRuO2 after structural relaxation.

a = 4.1111 Å, b = 4.1111 Å, c = 5.3177 Å
α = 90.00°, β = 90.00°, γ = 90.00°
Last column: nearest neighbours and their distance in Å.
Fractional positions:
Mg: 0.0000 0.0000 0.0000  2 Cd 2.66, 4 Ru 2.91
Cd: 0.0000 0.0000 0.5000  4 O 2.06
Ru: 0.5000 0.5000 0.0000  4 Mg 2.91
O: 0.0000 0.5000 0.5000  2 Cd 2.06
O: 0.5000 0.0000 0.5000  2 Cd 2.06

Results
The formation energy (no corrections) is 0.7954 eV per atom. The space group is No. 123.



Record 4
A plane-wave DFT calculation with GGA-PBE was carried out for GaPbS2O8 after structural relaxation.

a = 5.0279 Å, b = 5.0279 Å, c = 7.6808 Å
α = 91.71°, β = 91.71°, γ = 65.49°
Last column: nearest neighbours and their distance in Å.
Fractional positions:
Ga: 0.0000 0.0000 0.0000  6 O 2.20-2.26
Pb: 0.0000 0.0000 0.5000  6 O 2.60-2.63
S: 0.3655 0.3655 0.2267  4 O 1.47-1.52
S: 0.6345 0.6345 0.7733  4 O 1.47-1.52
O: 0.2448 0.6964 0.2182  1 S 1.52
O: 0.2531 0.2531 0.0763  1 S 1.47
O: 0.2899 0.2899 0.3987  1 S 1.49
O: 0.3036 0.7552 0.7818  1 S 1.52
O: 0.6964 0.2448 0.2182  1 S 1.52
O: 0.7101 0.7101 0.6013  1 S 1.49
O: 0.7469 0.7469 0.9237  1 S 1.47
O: 0.7552 0.3036 0.7818  1 S 1.52

Results
The formation energy (no corrections) is -1.3046 eV per atom. The space group is No. 12.



Record 5
A plane-wave DFT calculation with GGA-PBE was carried out for CdTeAs2 after structural relaxation.

a = 4.9568 Å, b = 4.9568 Å, c = 4.9568 Å
α = 113.00°, β = 113.00°, γ = 102.63°
Last column: nearest neighbours and their distance in Å.
Fractional positions:
Cd: 0.0000 0.0000 0.0000  6 As 3.10-3.14, 4 Te 3.14
Te: 0.7500 0.2500 0.5000  6 As 3.10-3.14, 4 Cd 3.14
As: 0.2500 0.7500 0.5000  2 Te 3.10, 4 Cd 3.14, 4 As 3.14
As: 0.5000 0.5000 0.0000  2 Cd 3.10, 4 As 3.14, 4 Te 3.14

Results
The offset from the most stable computed form comes out at 408.3 meV per atom. The formation energy (no corrections) is 0.3522 eV per atom. The space group is No. 119.



Record 6
A plane-wave DFT calculation with GGA-PBE was carried out for Zr2SbSe after structural relaxation.

a = 3.6047 Å, b = 5.1348 Å, c = 5.3637 Å
α = 90.00°, β = 109.46°, γ = 90.00°
Last column: nearest neighbours and their distance in Å.
Fractional positions:
Zr: 0.0000 0.0000 0.0000  3 Se 2.80-2.92
Zr: 0.2851 0.5000 0.5782  2 Se 2.57, 1 Sb 2.81
Sb: 0.5651 0.5000 0.1334  3 Zr 2.81-2.88
Se: 0.2902 0.0000 0.5767  4 Zr 2.57-2.80

Results
The offset from the most stable computed form comes out at 167.3 meV per atom. The formation energy (no corrections) is -0.7601 eV per atom. The space group is No. 6.



Record 7
A plane-wave DFT calculation with GGA-PBE was carried out for SiAu2Cl after structural relaxation.

a = 4.7398 Å, b = 4.7398 Å, c = 4.7398 Å
α = 60.00°, β = 60.00°, γ = 60.00°
Last column: nearest neighbours and their distance in Å.
Fractional positions:
Si: 0.0000 0.0000 0.0000  8 Au 2.90
Au: 0.2500 0.2500 0.2500  4 Cl 2.90, 4 Si 2.90
Au: 0.7500 0.7500 0.7500  4 Cl 2.90, 4 Si 2.90
Cl: 0.5000 0.5000 0.5000  8 Au 2.90

Results
The offset from the most stable computed form comes out at 577.4 meV per atom. The formation energy (no corrections) is 0.4997 eV per atom. The space group is No. 225.



Record 8
A plane-wave DFT calculation with GGA-PBE was carried out for BaCuHgPb2 after structural relaxation.

a = 5.4322 Å, b = 5.4322 Å, c = 5.1995 Å
α = 90.00°, β = 90.00°, γ = 90.00°
Last column: nearest neighbours and their distance in Å.
Fractional positions:
Ba: 0.0000 0.0000 0.0000  8 Pb 3.76, 4 Hg 3.84
Cu: 0.5000 0.5000 0.5000  2 Hg 2.60, 4 Pb 2.72
Hg: 0.5000 0.5000 0.0000  2 Cu 2.60
Pb: 0.0000 0.5000 0.5000  2 Cu 2.72
Pb: 0.5000 0.0000 0.5000  2 Cu 2.72

Results
As for the formation energy from the elements: -120 meV/atom. The space group is No. 123.



Record 9
A plane-wave DFT calculation with GGA-PBE was carried out for Ag2TeCl after structural relaxation.

a = 7.7504 Å, b = 9.4327 Å, c = 6.0700 Å
α = 90.00°, β = 100.77°, γ = 90.00°
Last column: nearest neighbours and their distance in Å.
Fractional positions:
Ag: 0.0012 0.0523 0.2382  3 Te 2.78-3.11, 2 Cl 2.94-2.96, 1 Ag 3.05
Ag: 0.0012 0.4477 0.7382  3 Te 2.78-3.11, 2 Cl 2.94-2.96, 1 Ag 3.05
Ag: 0.4931 0.2413 0.6934  2 Cl 2.61-2.62, 2 Te 2.84-2.89
Ag: 0.4931 0.2587 0.1934  2 Cl 2.61-2.62, 2 Te 2.84-2.89
Ag: 0.5069 0.7413 0.8066  2 Cl 2.61-2.62, 2 Te 2.84-2.89
Ag: 0.5069 0.7587 0.3066  2 Cl 2.61-2.62, 2 Te 2.84-2.89
Ag: 0.9988 0.5523 0.2618  3 Te 2.78-3.11, 2 Cl 2.94-2.96, 1 Ag 3.05
Ag: 0.9988 0.9477 0.7618  3 Te 2.78-3.11, 2 Cl 2.94-2.96, 1 Ag 3.05
Te: 0.1808 0.1982 0.8808  5 Ag 2.78-3.11
Te: 0.1808 0.3018 0.3808  5 Ag 2.78-3.11
Te: 0.8192 0.6982 0.6192  5 Ag 2.78-3.11
Te: 0.8192 0.8018 0.1192  5 Ag 2.78-3.11
Cl: 0.2856 0.6115 0.0139  2 Ag 2.61-2.62
Cl: 0.2856 0.8885 0.5139  2 Ag 2.61-2.62
Cl: 0.7144 0.1115 0.4861  2 Ag 2.61-2.62
Cl: 0.7144 0.3885 0.9861  2 Ag 2.61-2.62

Results
The offset from the most stable computed form comes out at 7.5 meV per atom. The formation energy (no corrections) is -0.1857 eV per atom. The space group is No. 14.



Record 10
A plane-wave DFT calculation with GGA-PBE was carried out for TlTeRh2 after structural relaxation.

a = 4.4648 Å, b = 4.4648 Å, c = 5.8626 Å
α = 102.75°, β = 102.75°, γ = 43.66°
Last column: nearest neighbours and their distance in Å.
Fractional positions:
Tl: 0.0000 0.0000 0.0000  6 Rh 2.87-2.94
Te: 0.5000 0.5000 0.5000  6 Rh 2.69-2.71
Rh: 0.2479 0.2479 0.7158  3 Te 2.69-2.71, 3 Tl 2.87-2.94
Rh: 0.7521 0.7521 0.2842  3 Te 2.69-2.71, 3 Tl 2.87-2.94

Results
The offset from the most stable computed form comes out at 81.2 meV per atom. The formation energy (no corrections) is 0.0667 eV per atom. The space group is No. 12.



Record 11
A plane-wave DFT calculation with GGA-PBE was carried out for CsP2PbC after structural relaxation.

a = 4.6487 Å, b = 4.6487 Å, c = 5.1910 Å
α = 90.00°, β = 90.00°, γ = 90.00°
Last column: nearest neighbours and their distance in Å.
Fractional positions:
Cs: 0.0000 0.0000 0.0000  4 Pb 3.29, 8 P 3.48
P: 0.0000 0.5000 0.5000  2 C 2.32
P: 0.5000 0.0000 0.5000  2 C 2.32
Pb: 0.5000 0.5000 0.0000  2 C 2.60
C: 0.5000 0.5000 0.5000  4 P 2.32, 2 Pb 2.60

Results
As for the formation energy from the elements: 1231 meV/atom. The space group is No. 123.



Record 12
A plane-wave DFT calculation with GGA-PBE was carried out for LiGeSbF6 after structural relaxation.

a = 5.7492 Å, b = 5.7492 Å, c = 4.8138 Å
α = 90.00°, β = 90.00°, γ = 120.00°
Last column: nearest neighbours and their distance in Å.
Fractional positions:
Li: 0.0000 0.0000 0.0000  6 F 2.04-2.19
Ge: 0.3333 0.6667 0.4742  3 F 1.95
Sb: 0.6667 0.3333 0.0543  3 F 2.00
F: 0.1028 0.3633 0.2367  1 Ge 1.95
F: 0.2604 0.8972 0.2367  1 Ge 1.95
F: 0.3562 0.2334 0.8006  1 Sb 2.00, 1 Li 2.04
F: 0.6367 0.7396 0.2367  1 Ge 1.95
F: 0.7666 0.1228 0.8006  1 Sb 2.00, 1 Li 2.04
F: 0.8772 0.6438 0.8006  1 Sb 2.00, 1 Li 2.04

Results
The formation energy (no corrections) is -2.4083 eV per atom. The space group is No. 143.



For reference, E_tot by record: -78.86; -14.41; -17.72; -70.31; -11.95; -27.74; -11.83; -14.34; -45.73; -19.94; -18.45; -43.56 eV per cell.
For reference, DOS at the Fermi energy by record: 0.0000; 0.5557; 0.6985; 0.1963; 0.4353; 0.9196; 0.9381; 0.6713; 0.1486; 0.6441; 0.6306; 0.0000 states/eV/atom.